No. 1
This record from the Alexandria database describes a PBEsol-optimized structure of CrSnNO2. The functional is meta-GGA SCAN.

Lattice parameters (Å, degrees): 3.968 3.968 4.128 90.00 90.00 90.00
Fractional positions:
Cr: 0.000 0.000 0.000
Sn: 0.500 0.500 0.500
N: 0.500 0.500 0.000
O: 0.000 0.500 0.500
O: 0.500 0.000 0.500

Results
Fermi-level density of states: 2.3 states/eV/f.u.
total moment: 3.00 μB per cell
formation energy without anion corrections: -252 meV per atom

=====

No. 2
This record from the Alexandria database describes a PBEsol-optimized structure of TiCrN2O. The functional is meta-GGA SCAN.

Lattice parameters (Å, degrees): 3.661 3.661 3.570 90.00 90.00 90.00
Fractional positions:
Ti: 0.000 0.000 0.000
Cr: 0.500 0.500 0.500
N: 0.000 0.500 0.500
N: 0.500 0.000 0.500
O: 0.500 0.500 0.000

Results
Fermi-level density of states: 2.7 states/eV/f.u.
total moment: 1.97 μB per cell
formation energy without anion corrections: -647 meV per atom

=====

No. 3
This record from the Alexandria database describes a PBEsol-optimized structure of CrWN2O. The functional is meta-GGA SCAN.

Lattice parameters (Å, degrees): 3.670 3.670 3.521 90.00 90.00 90.00
Fractional positions:
Cr: 0.000 0.000 0.000
W: 0.500 0.500 0.500
N: 0.000 0.500 0.000
N: 0.500 0.000 0.000
O: 0.000 0.000 0.500

Results
Fermi-level density of states: 3.6 states/eV/f.u.
total moment: 0.01 μB per cell
formation energy without anion corrections: 499 meV per atom

=====

No. 4
This record from the Alexandria database describes a PBEsol-optimized structure of ZrCrNO2. The functional is meta-GGA SCAN.

Lattice parameters (Å, degrees): 3.643 3.643 3.777 90.00 90.00 90.00
Fractional positions:
Zr: 0.000 0.000 0.000
Cr: 0.500 0.500 0.500
N: 0.500 0.500 0.000
O: 0.000 0.500 0.500
O: 0.500 0.000 0.500

Results
Fermi-level density of states: 1.2 states/eV/f.u.
total moment: 2.89 μB per cell
formation energy without anion corrections: -1778 meV per atom

=====

No. 5
This record from the Alexandria database describes a PBEsol-optimized structure of CrOsN2. The functional is meta-GGA SCAN.

Lattice parameters (Å, degrees): 6.530 6.530 6.530 23.47 23.47 23.47
Fractional positions:
Cr: 0.000 0.000 0.000
Os: 0.500 0.500 0.500
N: 0.397 0.397 0.397
N: 0.603 0.603 0.603

Results
Fermi-level density of states: 2.8 states/eV/f.u.
total moment: 0.00 μB per cell
formation energy without anion corrections: 68 meV per atom

=====

No. 6
This record from the Alexandria database describes a PBEsol-optimized structure of CrTeOsN2. The functional is meta-GGA SCAN.

Lattice parameters (Å, degrees): 3.796 3.796 5.758 90.00 90.00 90.00
Fractional positions:
Cr: 0.000 0.000 0.000
Te: 0.500 0.500 0.000
Os: 0.500 0.500 0.500
N: 0.000 0.500 0.500
N: 0.500 0.000 0.500

Results
Fermi-level density of states: 1.9 states/eV/f.u.
total moment: 4.19 μB per cell
formation energy without anion corrections: 569 meV per atom

=====

- Which value of formation energy without anion corrections does entry 5 give?
  68 meV per atom

=====

- Which of these has the highest Fermi-level density of states?
  CrWN2O

=====

- Which value of total moment does entry 3 give?
  0.01 μB per cell

=====

Please write out number 6 again, unchanged.
This record from the Alexandria database describes a PBEsol-optimized structure of CrTeOsN2. The functional is meta-GGA SCAN.

Lattice parameters (Å, degrees): 3.796 3.796 5.758 90.00 90.00 90.00
Fractional positions:
Cr: 0.000 0.000 0.000
Te: 0.500 0.500 0.000
Os: 0.500 0.500 0.500
N: 0.000 0.500 0.500
N: 0.500 0.000 0.500

Results
Fermi-level density of states: 1.9 states/eV/f.u.
total moment: 4.19 μB per cell
formation energy without anion corrections: 569 meV per atom